(1)
DFT (meta-GGA SCAN) results for Co2SbRu at its PBEsol-relaxed geometry.

## Properties
ΔE_f (raw): 1.0 eV/f.u.
Magnetic moment: 3.58 μB/cell
Density of states at the Fermi level: 3.06 states/eV/f.u.
Total energy: -26.414 eV/atom

Cell lengths 3.128, 3.128, 5.521 Å; angles 90.00, 90.00, 90.00 degrees
Sites, in units of the cell vectors:
Co  0.000  0.000  0.025
Co  0.500  0.500  0.226
Sb  0.500  0.500  0.761
Ru  0.000  0.000  0.488



(2)
DFT (meta-GGA SCAN) results for Co2SbRu at its PBEsol-relaxed geometry.

## Properties
ΔE_f (raw): 1.5 eV/f.u.
Magnetic moment: 2.86 μB/cell
Density of states at the Fermi level: 3.97 states/eV/f.u.
Total energy: -26.295 eV/atom

Cell lengths 2.841, 4.412, 4.412 Å; angles 107.17, 90.00, 90.00 degrees
Sites, in units of the cell vectors:
Co  0.000  0.500  0.000
Co  0.000  0.000  0.500
Sb  0.500  0.500  0.500
Ru  0.500  0.000  0.000



Look up the density of states at the Fermi level of the second one. 3.97 states/eV/f.u.



magnetic moment of number 2 (Co2SbRu)? 2.86 μB/cell



Which of these has the highest density of states at the Fermi level? number 2